An optimized crystal structure of Li3FeCu4O8, computed with PBE+U.

**Magnetization**: 0.54 μB/atom
**Raw total energy**: -84.6 eV for the cell shown
**SG**: No. 12

abc: 5.9467 5.9467 5.8504
angles: 118.79 118.79 59.60
Sites, in units of the cell vectors:
Li (0.0000, 0.0000, 0.0000)
Li (0.0000, 0.5000, 0.0000)
Li (0.5000, 0.0000, 0.0000)
Fe (0.5000, 0.5000, 0.5000)
Cu (0.0000, 0.0000, 0.5000)
Cu (0.0000, 0.5000, 0.5000)
Cu (0.5000, 0.0000, 0.5000)
Cu (0.5000, 0.5000, 0.0000)
O (0.2217, 0.2217, 0.7101)
O (0.2613, 0.2613, 0.2738)
O (0.2634, 0.7266, 0.7548)
O (0.2734, 0.7366, 0.2452)
O (0.7266, 0.2634, 0.7548)
O (0.7366, 0.2734, 0.2452)
O (0.7387, 0.7387, 0.7262)
O (0.7783, 0.7783, 0.2899)